Entry from Alexandria: crystalline DyGa4Ir2 at its relaxed geometry (GGA-PBE).

Geometry as CIF:
```
data_DyGa4Ir2
_cell_length_a 17.1293
_cell_length_b 4.2936
_cell_length_c 6.6155
_cell_angle_alpha 90.00
_cell_angle_beta 90.00
_cell_angle_gamma 90.00
_symmetry_space_group_name_H-M 'P n m a'
_symmetry_Int_Tables_number 62
loop_
_symmetry_equiv_pos_as_xyz
'x,y,z'
'-x,-y,-z'
'-x+1/2,-y,z+1/2'
'x+1/2,y,-z+1/2'
'x+1/2,-y+1/2,-z+1/2'
'-x+1/2,y+1/2,z+1/2'
'-x,y+1/2,-z'
'x,-y+1/2,z'
loop_
_atom_site_label
_atom_site_type_symbol
_atom_site_fract_x
_atom_site_fract_y
_atom_site_fract_z
_atom_site_occupancy
Dy1 Dy 0.1408 0.2500 0.0067 1
Ga1 Ga 0.0358 0.7500 0.8476 1
Ga2 Ga 0.0674 0.2500 0.4875 1
Ga3 Ga 0.1872 0.7500 0.3054 1
Ga4 Ga 0.1886 0.7500 0.7158 1
Ir1 Ir 0.0379 0.7500 0.2415 1
Ir2 Ir 0.2144 0.2500 0.5117 1
```

Calculated values
- E_tot (eV per cell) = -155.5
- size of the total moment (μB per cell) = 0.00
- formation energy from the elements (eV/atom) = -0.634
- polymorph energy (0 for the lowest one) (eV/atom) = 0.0000